Entry 1:
! SCAN Ag2SnPd, single point on PBEsol structure; values from VASP
! **SG**: No. 225
! **E_form**: -3.5 kJ per mole of atoms
! **Crystal system**: cubic
&SYSTEM
  ibrav = 0, nat = 4, ntyp = 3
/
ATOMIC_SPECIES
Ag 107.87 Ag.upf
Sn 118.71 Sn.upf
Pd 106.42 Pd.upf
CELL_PARAMETERS angstrom
-0.2754 4.5910 0.2293
-3.7384 2.1648 -1.5949
-2.9387 1.9865 2.9366
ATOMIC_POSITIONS angstrom
Ag -1.7381 2.1856 0.3927
Sn -3.4762 4.3712 0.7854
Ag -5.2144 6.5568 1.1782
Pd 0.0000 0.0000 0.0000

Entry 2:
! SCAN SrAg3Pd2, single point on PBEsol structure; values from VASP
! **SG**: No. 191
! **E_form**: -32.3 kJ per mole of atoms
! **Crystal system**: hexagonal
&SYSTEM
  ibrav = 0, nat = 6, ntyp = 3
/
ATOMIC_SPECIES
Ag 107.87 Ag.upf
Pd 106.42 Pd.upf
Sr 87.62 Sr.upf
CELL_PARAMETERS angstrom
-4.1854 1.4086 0.8261
0.9615 -0.3029 5.3877
1.0304 4.6513 -2.7106
ATOMIC_POSITIONS angstrom
Ag -1.5775 3.0299 -0.9422
Ag -1.6120 0.5529 3.1069
Pd 0.9844 1.3485 2.6883
Pd 1.0074 2.9999 -0.0111
Ag -1.0968 2.8785 1.7516
Sr 0.0000 0.0000 0.0000

Entry 3:
! SCAN Sr2AgPd2, single point on PBEsol structure; values from VASP
! **SG**: No. 127
! **E_form**: -45.7 kJ per mole of atoms
! **Crystal system**: tetragonal
! **Polymorph energy (0 for the lowest one)**: 0.000 eV/atom
&SYSTEM
  ibrav = 0, nat = 10, ntyp = 3
/
ATOMIC_SPECIES
Pd 106.42 Pd.upf
Sr 87.62 Sr.upf
Ag 107.87 Ag.upf
CELL_PARAMETERS angstrom
4.2850 0.0000 0.0000
0.0000 7.4294 0.0000
0.0000 0.0000 7.4294
ATOMIC_POSITIONS angstrom
Pd 0.0000 0.9619 2.7528
Sr 2.1425 2.4169 1.2978
Sr 2.1425 6.1316 2.4169
Sr 2.1425 5.0125 6.1316
Ag 0.0000 0.0000 0.0000
Pd 0.0000 6.4676 4.6766
Sr 2.1425 1.2978 5.0125
Ag 0.0000 3.7147 3.7147
Pd 0.0000 2.7528 6.4676
Pd 0.0000 4.6766 0.9619

Entry 4:
! SCAN Sr2AgPd2, single point on PBEsol structure; values from VASP
! **SG**: No. 139
! **E_form**: -35.3 kJ per mole of atoms
! **Crystal system**: tetragonal
! **Polymorph energy (0 for the lowest one)**: 0.108 eV/atom
&SYSTEM
  ibrav = 0, nat = 5, ntyp = 3
/
ATOMIC_SPECIES
Sr 87.62 Sr.upf
Pd 106.42 Pd.upf
Ag 107.87 Ag.upf
CELL_PARAMETERS angstrom
5.6740 0.0096 0.0138
-2.7743 4.9495 -0.0138
-2.7743 -1.7051 4.6465
ATOMIC_POSITIONS angstrom
Sr 0.0627 3.2907 1.1582
Pd -3.6732 2.1478 3.0669
Sr 0.0627 -0.0367 3.4883
Pd -1.8754 1.0966 1.5658
Ag 0.0000 0.0000 0.0000